# 1
Entry from the Alexandria database: crystalline LiLaU2Se4 at its relaxed geometry (PBE).

abc: 4.055 6.982 7.432
angles: 108.49 90.00 90.00
Atoms (fractional coordinates):
Se  0.500  0.264  0.254
Se  0.500  0.736  0.746
Se  0.000  0.738  0.247
Se  0.000  0.262  0.753
U  0.000  0.500  0.500
U  0.500  0.000  0.500
Li  0.500  0.500  0.000
La  0.000  0.000  0.000

Results
Its space-group type is No. 10. As for the raw formation energy: -1313.1 meV per atom.

---

# 2
Entry from the Alexandria database: crystalline BaMgAg2 at its relaxed geometry (PBE).

abc: 5.440 5.440 10.079
angles: 74.34 74.34 90.00
Atoms (fractional coordinates):
Ag  0.374  0.625  0.250
Ag  0.875  0.626  0.750
Ag  0.375  0.624  0.750
Ag  0.376  0.125  0.250
Mg  0.500  0.500  0.000
Mg  0.250  0.750  0.500
Ba  0.750  0.250  0.500
Ba  0.000  0.000  0.000

Results
The formation energy comes out at -0.022 eV per atom. Its space-group type is No. 122.

---

# 3
Entry from the Alexandria database: crystalline Y4ZnHg at its relaxed geometry (PBE).

abc: 3.600 3.600 12.657
angles: 90.00 90.00 90.00
Atoms (fractional coordinates):
Y  0.500  0.500  0.860
Y  0.000  0.000  0.342
Y  0.000  0.000  0.658
Y  0.500  0.500  0.140
Zn  0.000  0.000  0.000
Hg  0.500  0.500  0.500

Results
The formation energy comes out at -0.273 eV per atom. Its space-group type is No. 123.